No. 1
DFT (PBE-GGA) results for a relaxed SrInSe2 crystal. Values from VASP.

Its space group is No. 71. The total moment comes out at 0.000 Bohr magnetons per cell. For the formation energy without anion corrections, the calculation gives -0.938 eV/atom. The density of states at the Fermi level comes out at 2.3 states/eV/cell.

```
&SYSTEM
  ibrav = 0, nat = 4, ntyp = 3
/
ATOMIC_SPECIES
Sr 87.62 Sr.upf
In 114.82 In.upf
Se 78.96 Se.upf
CELL_PARAMETERS angstrom
-2.443 2.903 3.814
2.443 -2.903 3.814
2.443 2.903 -3.814
ATOMIC_POSITIONS crystal
Sr 0.000 0.000 0.000
In 0.500 0.500 0.000
Se 0.276 0.776 0.500
Se 0.724 0.224 0.500
```



No. 2
DFT (PBE-GGA) results for a relaxed SrInSe2 crystal. Values from VASP.

Its space group is No. 44. The total moment comes out at 0.000 Bohr magnetons per cell. For the formation energy without anion corrections, the calculation gives -1.064 eV/atom. The density of states at the Fermi level comes out at 0.9 states/eV/cell.

```
&SYSTEM
  ibrav = 0, nat = 4, ntyp = 3
/
ATOMIC_SPECIES
Sr 87.62 Sr.upf
In 114.82 In.upf
Se 78.96 Se.upf
CELL_PARAMETERS angstrom
-1.984 2.044 7.009
1.984 -2.044 7.009
1.984 2.044 -7.009
ATOMIC_POSITIONS crystal
Sr 0.000 0.000 0.000
In 0.754 0.254 0.500
Se 0.323 0.823 0.500
Se 0.588 0.588 0.000
```



No. 3
DFT (PBE-GGA) results for a relaxed Sr2InSe crystal. Values from VASP.

Its space group is No. 139. The total moment comes out at 0.000 Bohr magnetons per cell. For the formation energy without anion corrections, the calculation gives -0.772 eV/atom. The density of states at the Fermi level comes out at 2.1 states/eV/cell.

```
&SYSTEM
  ibrav = 0, nat = 4, ntyp = 3
/
ATOMIC_SPECIES
Sr 87.62 Sr.upf
In 114.82 In.upf
Se 78.96 Se.upf
CELL_PARAMETERS angstrom
-2.631 2.631 4.564
2.631 -2.631 4.564
2.631 2.631 -4.564
ATOMIC_POSITIONS crystal
Sr 0.250 0.750 0.500
Sr 0.750 0.250 0.500
In 0.000 0.000 0.000
Se 0.500 0.500 0.000
```



No. 4
DFT (PBE-GGA) results for a relaxed Sr2InSe crystal. Values from VASP.

Its space group is No. 25. The total moment comes out at 0.336 Bohr magnetons per cell. For the formation energy without anion corrections, the calculation gives -0.885 eV/atom. The density of states at the Fermi level comes out at 3.4 states/eV/cell.

```
&SYSTEM
  ibrav = 0, nat = 4, ntyp = 3
/
ATOMIC_SPECIES
Sr 87.62 Sr.upf
In 114.82 In.upf
Se 78.96 Se.upf
CELL_PARAMETERS angstrom
4.639 0.000 0.000
0.000 6.610 0.000
0.000 0.000 4.641
ATOMIC_POSITIONS crystal
Sr 0.000 0.000 0.000
Sr 0.500 0.500 0.499
In 0.000 0.500 0.998
Se 0.500 0.000 0.500
```



No. 5
DFT (PBE-GGA) results for a relaxed SrInSe2 crystal. Values from VASP.

Its space group is No. 122. The total moment comes out at 0.000 Bohr magnetons per cell. For the formation energy without anion corrections, the calculation gives -1.035 eV/atom. The density of states at the Fermi level comes out at 1.5 states/eV/cell.

```
&SYSTEM
  ibrav = 0, nat = 8, ntyp = 3
/
ATOMIC_SPECIES
Sr 87.62 Sr.upf
In 114.82 In.upf
Se 78.96 Se.upf
CELL_PARAMETERS angstrom
-3.273 3.273 7.191
3.273 -3.273 7.191
3.273 3.273 -7.191
ATOMIC_POSITIONS crystal
Sr 0.000 0.000 0.000
Sr 0.750 0.250 0.500
In 0.250 0.750 0.500
In 0.500 0.500 0.000
Se 0.156 0.625 0.031
Se 0.375 0.406 0.531
Se 0.594 0.125 0.969
Se 0.875 0.844 0.469
```



No. 6
DFT (PBE-GGA) results for a relaxed Sr2InSe crystal. Values from VASP.

Its space group is No. 123. The total moment comes out at 0.000 Bohr magnetons per cell. For the formation energy without anion corrections, the calculation gives -0.872 eV/atom. The density of states at the Fermi level comes out at 3.7 states/eV/cell.

```
&SYSTEM
  ibrav = 0, nat = 4, ntyp = 3
/
ATOMIC_SPECIES
Sr 87.62 Sr.upf
In 114.82 In.upf
Se 78.96 Se.upf
CELL_PARAMETERS angstrom
5.637 0.000 0.000
0.000 5.637 0.000
0.000 0.000 3.954
ATOMIC_POSITIONS crystal
Sr 0.000 0.500 0.000
Sr 0.500 0.000 0.000
In 0.000 0.000 0.500
Se 0.500 0.500 0.500
```



> total moment of number 4 (Sr2InSe)?

0.336 Bohr magnetons per cell